(1)
DFT (PBE) results for an optimized crystal structure of NaMgReCl2.

Computed properties:
**ΔE_f (raw)**: 282 meV per atom
**Excess energy over the best structure of this formula in the dataset**: 0.00 kcal/mol of atoms

Lattice parameters (Å, degrees): 4.9359 5.7096 4.9359 90.00 90.00 90.00
Closest atoms and distances in Å follow each position.
Atoms (fractional coordinates):
Re 0.0000 0.5000 0.0000  2 Mg 2.85
Mg 0.0000 0.0000 0.0000  4 Cl 2.47
Cl 0.0000 0.0000 0.5000  2 Mg 2.47
Cl 0.5000 0.0000 0.0000  2 Mg 2.47
Na 0.5000 0.5000 0.5000  4 Re 3.49, 8 Cl 3.77

(2)
DFT (PBE) results for an optimized crystal structure of NaMgReCl2.

Computed properties:
**ΔE_f (raw)**: 731 meV per atom
**Excess energy over the best structure of this formula in the dataset**: 10.37 kcal/mol of atoms

Lattice parameters (Å, degrees): 4.8872 5.8820 4.8872 90.00 90.00 90.00
Closest atoms and distances in Å follow each position.
Atoms (fractional coordinates):
Mg 0.0000 0.5000 0.0000  2 Na 2.94
Na 0.0000 0.0000 0.0000  4 Cl 2.44
Cl 0.5000 0.0000 0.0000  2 Na 2.44
Cl 0.0000 0.0000 0.5000  2 Na 2.44
Re 0.5000 0.5000 0.5000  4 Mg 3.46, 8 Cl 3.82

(3)
DFT (PBE) results for an optimized crystal structure of NaMgSCl2.

Computed properties:
**ΔE_f (raw)**: -1139 meV per atom
**Excess energy over the best structure of this formula in the dataset**: 0.00 kcal/mol of atoms

Lattice parameters (Å, degrees): 5.0131 5.0131 4.9446 90.00 90.00 90.00
Closest atoms and distances in Å follow each position.
Atoms (fractional coordinates):
S 0.0000 0.0000 0.5000  2 Mg 2.47
Na 0.5000 0.5000 0.5000  8 Cl 3.52, 4 S 3.54
Cl 0.5000 0.0000 0.0000  2 Mg 2.51
Cl 0.0000 0.5000 0.0000  2 Mg 2.51
Mg 0.0000 0.0000 0.0000  2 S 2.47, 4 Cl 2.51

(4)
DFT (PBE) results for an optimized crystal structure of NaMgSCl2.

Computed properties:
**ΔE_f (raw)**: -408 meV per atom
**Excess energy over the best structure of this formula in the dataset**: 16.85 kcal/mol of atoms

Lattice parameters (Å, degrees): 4.8790 4.8790 5.2735 90.00 90.00 90.00
Closest atoms and distances in Å follow each position.
Atoms (fractional coordinates):
Cl 0.5000 0.0000 0.0000  2 Na 2.44
Cl 0.0000 0.5000 0.0000  2 Na 2.44
Na 0.0000 0.0000 0.0000  4 Cl 2.44, 2 S 2.64
Mg 0.5000 0.5000 0.5000  4 S 3.45, 8 Cl 3.59
S 0.0000 0.0000 0.5000  2 Na 2.64

(5)
DFT (PBE) results for an optimized crystal structure of NaMg2SbCl8.

Computed properties:
**ΔE_f (raw)**: -1464 meV per atom

Lattice parameters (Å, degrees): 6.3377 6.1097 7.8142 90.00 90.00 89.73
Closest atoms and distances in Å follow each position.
Atoms (fractional coordinates):
Cl 0.1850 0.7627 0.2423  1 Mg 2.56, 1 Sb 2.65, 1 Na 2.74
Cl 0.6644 0.7137 0.0000  2 Mg 2.65, 1 Sb 2.76
Cl 0.8150 0.2373 0.7577  1 Mg 2.56, 1 Sb 2.65, 1 Na 2.74
Cl 0.1850 0.7626 0.7577  1 Mg 2.56, 1 Sb 2.65, 1 Na 2.74
Cl 0.8150 0.2374 0.2423  1 Mg 2.56, 1 Sb 2.65, 1 Na 2.74
Cl 0.3356 0.2863 0.0000  2 Mg 2.65, 1 Sb 2.76
Cl 0.3380 0.2909 0.5000  2 Mg 2.47
Cl 0.6620 0.7091 0.5000  2 Mg 2.47
Sb 0.0000 0.0000 0.0000  6 Cl 2.65-2.76
Mg 0.5000 0.5000 0.2635  6 Cl 2.47-2.65
Mg 0.5000 0.5000 0.7365  6 Cl 2.47-2.65
Na 0.0000 0.0000 0.5000  6 Cl 2.74-2.79

(6)
DFT (PBE) results for an optimized crystal structure of NaMg2ScCl8.

Computed properties:
**ΔE_f (raw)**: -1884 meV per atom

Lattice parameters (Å, degrees): 6.1548 6.0556 7.7082 90.00 90.00 89.62
Closest atoms and distances in Å follow each position.
Atoms (fractional coordinates):
Cl 0.8088 0.2152 0.2277  1 Sc 2.48, 1 Mg 2.57, 1 Na 2.73
Cl 0.1912 0.7848 0.7723  1 Sc 2.48, 1 Mg 2.57, 1 Na 2.73
Cl 0.3252 0.3016 0.5000  2 Mg 2.47, 1 Na 2.72
Cl 0.6748 0.6984 0.5000  2 Mg 2.47, 1 Na 2.72
Cl 0.1912 0.7848 0.2277  1 Sc 2.48, 1 Mg 2.57, 1 Na 2.73
Cl 0.6877 0.7108 0.0000  1 Sc 2.61, 2 Mg 2.64
Cl 0.8088 0.2152 0.7723  1 Sc 2.48, 1 Mg 2.57, 1 Na 2.73
Cl 0.3123 0.2892 0.0000  1 Sc 2.61, 2 Mg 2.64
Mg 0.5000 0.5000 0.7413  6 Cl 2.47-2.64
Mg 0.5000 0.5000 0.2587  6 Cl 2.47-2.64
Na 0.0000 0.0000 0.5000  6 Cl 2.72-2.73
Sc 0.0000 0.0000 0.0000  6 Cl 2.48-2.61

(7)
DFT (PBE) results for an optimized crystal structure of Na2MgSeCl.

Computed properties:
**ΔE_f (raw)**: -491 meV per atom

Lattice parameters (Å, degrees): 6.2464 4.7722 6.2464 90.00 90.00 90.00
Closest atoms and distances in Å follow each position.
Atoms (fractional coordinates):
Se 0.0000 0.5000 0.0000  2 Mg 2.39
Na 0.5000 0.0000 0.0000  2 Mg 3.12
Na 0.0000 0.0000 0.5000  2 Mg 3.12
Mg 0.0000 0.0000 0.0000  2 Se 2.39
Cl 0.5000 0.5000 0.5000  8 Na 3.93

(8)
DFT (PBE) results for an optimized crystal structure of NaTbMg2Cl8.

Computed properties:
**ΔE_f (raw)**: -1950 meV per atom

Lattice parameters (Å, degrees): 6.2737 6.1882 7.8251 90.00 90.00 89.67
Closest atoms and distances in Å follow each position.
Atoms (fractional coordinates):
Na 0.0000 0.0000 0.5000  6 Cl 2.76-2.78
Cl 0.8009 0.2234 0.7601  1 Mg 2.55, 1 Tb 2.64, 1 Na 2.76
Cl 0.6750 0.6974 0.5000  2 Mg 2.47
Cl 0.6802 0.7021 0.0000  2 Mg 2.67, 1 Tb 2.73
Cl 0.8009 0.2234 0.2399  1 Mg 2.55, 1 Tb 2.64, 1 Na 2.76
Cl 0.3198 0.2979 0.0000  2 Mg 2.67, 1 Tb 2.73
Cl 0.1991 0.7766 0.2399  1 Mg 2.55, 1 Tb 2.64, 1 Na 2.76
Cl 0.3250 0.3026 0.5000  2 Mg 2.47
Cl 0.1991 0.7766 0.7601  1 Mg 2.55, 1 Tb 2.64, 1 Na 2.76
Mg 0.5000 0.5000 0.7352  6 Cl 2.47-2.67
Mg 0.5000 0.5000 0.2648  6 Cl 2.47-2.67
Tb 0.0000 0.0000 0.0000  6 Cl 2.64-2.73

(9)
DFT (PBE) results for an optimized crystal structure of NaMgTiCl6.

Computed properties:
**ΔE_f (raw)**: -1712 meV per atom

Lattice parameters (Å, degrees): 6.4009 6.4009 12.5088 90.00 90.00 120.00
Closest atoms and distances in Å follow each position.
Atoms (fractional coordinates):
Cl 0.3561 0.9906 0.6386  1 Ti 2.44, 1 Mg 2.52
Cl 0.0094 0.3655 0.6386  1 Ti 2.44, 1 Mg 2.52
Cl 0.9906 0.6345 0.3614  1 Ti 2.44, 1 Mg 2.52
Cl 0.3655 0.3561 0.3614  1 Ti 2.44, 1 Mg 2.52
Cl 0.6439 0.6345 0.1386  1 Ti 2.44, 1 Mg 2.52
Cl 0.6345 0.6439 0.6386  1 Ti 2.44, 1 Mg 2.52
Cl 0.0094 0.6439 0.8614  1 Ti 2.44, 1 Mg 2.52
Cl 0.6439 0.0094 0.3614  1 Ti 2.44, 1 Mg 2.52
Cl 0.6345 0.9906 0.8614  1 Ti 2.44, 1 Mg 2.52
Cl 0.9906 0.3561 0.1386  1 Ti 2.44, 1 Mg 2.52
Cl 0.3561 0.3655 0.8614  1 Ti 2.44, 1 Mg 2.52
Cl 0.3655 0.0094 0.1386  1 Ti 2.44, 1 Mg 2.52
Ti 0.6667 0.3333 0.2500  6 Cl 2.44
Ti 0.3333 0.6667 0.7500  6 Cl 2.44
Mg 0.3333 0.6667 0.2500  6 Cl 2.52
Mg 0.6667 0.3333 0.7500  6 Cl 2.52
Na 0.0000 0.0000 0.0000  6 Cl 2.89
Na 0.0000 0.0000 0.5000  6 Cl 2.89

(10)
DFT (PBE) results for an optimized crystal structure of NaMg2TlCl8.

Computed properties:
**ΔE_f (raw)**: -1401 meV per atom

Lattice parameters (Å, degrees): 6.3689 6.0801 7.6899 90.00 90.00 89.08
Closest atoms and distances in Å follow each position.
Atoms (fractional coordinates):
Cl 0.6537 0.7195 0.0000  2 Mg 2.58, 1 Tl 2.81
Cl 0.8281 0.2416 0.2411  1 Mg 2.60, 1 Tl 2.60, 1 Na 2.70
Cl 0.6573 0.7089 0.5000  2 Mg 2.49
Cl 0.1719 0.7584 0.7589  1 Mg 2.60, 1 Tl 2.60, 1 Na 2.70
Cl 0.3427 0.2911 0.5000  2 Mg 2.49
Cl 0.8281 0.2416 0.7589  1 Mg 2.60, 1 Tl 2.60, 1 Na 2.70
Cl 0.3463 0.2805 0.0000  2 Mg 2.58, 1 Tl 2.81
Cl 0.1719 0.7584 0.2411  1 Mg 2.60, 1 Tl 2.60, 1 Na 2.70
Na 0.0000 0.0000 0.5000  6 Cl 2.70-2.83
Mg 0.5000 0.5000 0.2559  6 Cl 2.49-2.60
Mg 0.5000 0.5000 0.7441  6 Cl 2.49-2.60
Tl 0.0000 0.0000 0.0000  6 Cl 2.60-2.81

Calculated volume, record by record: 139.1; 140.5; 124.3; 125.5; 302.6; 287.3; 186.2; 303.8; 443.8; 297.7 Å³ per cell